[1]
Sr2LiInPd: optimized geometry, GGA-PBE.

Cell: 6.1775 6.1775 4.9090 Å, 90.00 90.00 90.00°
Fractional coordinates of all 5 atoms:
Sr 0.0000 0.5000 0.0000
Sr 0.5000 0.0000 0.0000
Li 0.0000 0.0000 0.5000
In 0.0000 0.0000 0.0000
Pd 0.5000 0.5000 0.5000

## Properties
- total energy (eV per atom) = -2.42
- polymorph energy (0 for the lowest one) (meV per atom) = 503
- crystal system = tetragonal


[2]
La3Pm2Ir3: optimized geometry, GGA-PBE.

Cell: 7.2117 7.2117 14.0464 Å, 90.50 90.50 46.66°
Fractional coordinates of all 16 atoms:
La 0.0000 0.0000 0.0000
La 0.0008 0.0008 0.2654
La 0.2020 0.2020 0.6333
La 0.6160 0.6160 0.8113
La 0.6992 0.6992 0.1346
La 0.9007 0.9007 0.5038
Pm 0.2755 0.2755 0.3167
Pm 0.2748 0.2748 0.9495
Pm 0.6251 0.6251 0.4466
Pm 0.8913 0.8913 0.7687
Ir 0.0978 0.0978 0.8218
Ir 0.0999 0.0999 0.4422
Ir 0.1614 0.1614 0.1332
Ir 0.7361 0.7361 0.6291
Ir 0.7976 0.7976 0.9444
Ir 0.8020 0.8020 0.3241

## Properties
- total energy (eV per atom) = -6.93
- crystal system = monoclinic


[3]
Ta2RePt: optimized geometry, GGA-PBE.

Cell: 4.9561 4.9561 5.1071 Å, 97.80 97.80 32.34°
Fractional coordinates of all 4 atoms:
Ta 0.2434 0.2434 0.2495
Ta 0.7566 0.7566 0.7505
Re 0.0000 0.0000 0.5000
Pt 0.5000 0.5000 0.0000

## Properties
- total energy (eV per atom) = -10.68
- crystal system = monoclinic


[4]
NaLiSe2N: optimized geometry, GGA-PBE.

Cell: 5.2299 5.2299 4.6436 Å, 90.00 90.00 90.00°
Fractional coordinates of all 5 atoms:
Na 0.0000 0.0000 0.0000
Li 0.5000 0.5000 0.5000
Se 0.0000 0.5000 0.0000
Se 0.5000 0.0000 0.0000
N 0.0000 0.0000 0.5000

## Properties
- total energy (eV per atom) = -2.84
- polymorph energy (0 for the lowest one) (meV per atom) = 321
- crystal system = tetragonal
- formation energy from raw total energies (kJ/mol of formula units) = 418


[5]
LiP2Ru: optimized geometry, GGA-PBE.

Cell: 2.9763 4.4683 4.4589 Å, 90.00 109.26 90.00°
Fractional coordinates of all 4 atoms:
Li 0.0000 0.0000 0.0000
P 0.3312 0.5000 0.6719
P 0.7229 0.0000 0.4542
Ru 0.6142 0.5000 0.2339

## Properties
- total energy (eV per atom) = -5.73
- polymorph energy (0 for the lowest one) (meV per atom) = 134
- crystal system = monoclinic